Record 1
Mn3CoBr | PBE | relaxed

Symmetry   Pm-3m (221)
Magnetic moment   13.3 μB/cell
Excess energy over the best structure of this formula in the dataset   0.0 meV per atom
DOS at the Fermi energy   0.715 states/eV/atom

Unit cell a=4.6340 b=4.6340 c=4.6340 alpha=90.00 beta=90.00 gamma=90.00
Element x y z (fractional)
Mn1 0.0000 0.0000 0.5000
Mn2 0.0000 0.5000 0.0000
Mn3 0.5000 0.0000 0.0000
Co1 0.0000 0.0000 0.0000
Br1 0.5000 0.5000 0.5000

=====

Record 2
MnCo2Br | PBE | relaxed

Symmetry   C2/m (12)
Magnetic moment   13.4 μB/cell
Excess energy over the best structure of this formula in the dataset   341.8 meV per atom
DOS at the Fermi energy   1.046 states/eV/atom

Unit cell a=5.1041 b=8.6802 c=3.0007 alpha=90.00 beta=120.35 gamma=90.00
Element x y z (fractional)
Mn1 0.0000 0.0000 0.0000
Mn2 0.5000 0.5000 0.0000
Co1 0.2500 0.2500 0.5000
Co2 0.2500 0.7500 0.5000
Co3 0.7500 0.2500 0.5000
Co4 0.7500 0.7500 0.5000
Br1 0.0000 0.5000 0.0000
Br2 0.5000 0.0000 0.0000

=====

Record 3
MnCoBr2 | PBE | relaxed

Symmetry   Imm2 (44)
Magnetic moment   12.0 μB/cell
Excess energy over the best structure of this formula in the dataset   161.1 meV per atom
DOS at the Fermi energy   0.274 states/eV/atom

Unit cell a=3.3442 b=3.7299 c=15.2154 alpha=90.00 beta=90.00 gamma=90.00
Element x y z (fractional)
Mn1 0.0000 0.0000 0.0000
Mn2 0.5000 0.5000 0.5000
Co1 0.0000 0.5000 0.6244
Co2 0.5000 0.0000 0.1244
Br1 0.0000 0.0000 0.4203
Br2 0.0000 0.5000 0.1618
Br3 0.5000 0.0000 0.6618
Br4 0.5000 0.5000 0.9203